# K2ZnBiB (PBE-GGA, relaxed)
data_K2ZnBiB
_chemical_formula_sum 'K2 Zn1 Bi1 B1'
_space_group_name_H-M_alt 'P 4/m m m'
_space_group_IT_number 123
_space_group_name_Hall '-P 4 2'
_cell_length_a 6.848
_cell_length_b 6.848
_cell_length_c 4.747
_cell_angle_alpha 90.00
_cell_angle_beta 90.00
_cell_angle_gamma 90.00
loop_
_atom_site_label
_atom_site_type_symbol
_atom_site_fract_x
_atom_site_fract_y
_atom_site_fract_z
K1 K 0.000 0.500 0.000
Zn1 Zn 0.000 0.000 0.500
Bi1 Bi 0.500 0.500 0.000
B1 B 0.500 0.500 0.500
# **N(E_F)**: 3.68 states/eV per cell
# **Energy of formation**: 15.56 kcal/mol of atoms

***

# KZn2BiB (PBE-GGA, relaxed)
data_KZn2BiB
_chemical_formula_sum 'K1 Zn2 Bi1 B1'
_space_group_name_H-M_alt 'P 4/m m m'
_space_group_IT_number 123
_space_group_name_Hall '-P 4 2'
_cell_length_a 5.455
_cell_length_b 5.455
_cell_length_c 5.101
_cell_angle_alpha 90.00
_cell_angle_beta 90.00
_cell_angle_gamma 90.00
loop_
_atom_site_label
_atom_site_type_symbol
_atom_site_fract_x
_atom_site_fract_y
_atom_site_fract_z
K1 K 0.000 0.000 0.000
Zn1 Zn 0.000 0.500 0.000
Bi1 Bi 0.500 0.500 0.500
B1 B 0.000 0.000 0.500
# **N(E_F)**: 2.81 states/eV per cell
# **Energy of formation**: 37.89 kcal/mol of atoms

***

# LaBi2B (PBE-GGA, relaxed)
data_LaBi2B
_chemical_formula_sum 'La4 Bi8 B4'
_space_group_name_H-M_alt 'I -4 2 d'
_space_group_IT_number 122
_space_group_name_Hall 'I -4 2bw'
_cell_length_a 7.627
_cell_length_b 7.627
_cell_length_c 7.512
_cell_angle_alpha 90.00
_cell_angle_beta 90.00
_cell_angle_gamma 90.00
loop_
_atom_site_label
_atom_site_type_symbol
_atom_site_fract_x
_atom_site_fract_y
_atom_site_fract_z
La1 La 0.000 0.000 0.000
Bi1 Bi 0.157 0.750 0.625
B1 B 0.000 0.000 0.500
# **N(E_F)**: 7.88 states/eV per cell
# **Energy of formation**: 2.41 kcal/mol of atoms

***

# La2BiB (PBE-GGA, relaxed)
data_La2BiB
_chemical_formula_sum 'La8 Bi4 B4'
_space_group_name_H-M_alt 'I -4 2 d'
_space_group_IT_number 122
_space_group_name_Hall 'I -4 2bw'
_cell_length_a 7.909
_cell_length_b 7.909
_cell_length_c 7.498
_cell_angle_alpha 90.00
_cell_angle_beta 90.00
_cell_angle_gamma 90.00
loop_
_atom_site_label
_atom_site_type_symbol
_atom_site_fract_x
_atom_site_fract_y
_atom_site_fract_z
La1 La 0.182 0.250 0.125
Bi1 Bi 0.000 0.000 0.500
B1 B 0.000 0.000 0.000
# **N(E_F)**: 14.36 states/eV per cell
# **Energy of formation**: -3.24 kcal/mol of atoms
# **Offset from the most stable computed form**: 0 meV per atom